Computed, not measured: crystalline LaThPd2 at its relaxed geometry at the PBE-GGA level of DFT.

```
LaThPd2
1.0
-0.767 -0.349 -4.074
3.057 -1.080 -2.607
-0.924 -7.471 -1.310
La Th Pd
1 1 2
Cartesian
0.668 -4.511 -3.988
0.614 -8.377 -5.770
-0.522 -5.802 -1.529
0.364 -2.130 -2.010
```

**E above lowest polymorph**: 123 meV per atom
**Size of the total moment**: 0.00 μB/f.u.
**E_form**: -670 meV per atom
**Total DFT energy (no corrections)**: -6.3533 eV/atom